1.
# Dy3Y6Sc2 PBE relaxed
# Volume ... 30.540 Å³ per atom
# Formation energy from the elements ... 0.045 eV/atom
# DFT total energy ... -5.8874 eV per atom
data_Dy3Y6Sc2
_chemical_formula_sum 'Dy9 Y18 Sc6'
_cell_length_a 3.5187
_cell_length_b 3.5187
_cell_length_c 93.9890
_cell_angle_alpha 90.00
_cell_angle_beta 90.00
_cell_angle_gamma 120.00
_symmetry_space_group_name_H-M 'R -3 m'
_symmetry_Int_Tables_number 166
_symmetry_space_group_name_Hall '-R 3 2"'
loop_
_atom_site_label
_atom_site_type_symbol
_atom_site_fract_x
_atom_site_fract_y
_atom_site_fract_z
Dy1 Dy 0.0000 0.0000 0.0000
Dy2 Dy 0.0000 0.0000 0.2716
Y1 Y 0.0000 0.0000 0.0930
Y2 Y 0.0000 0.0000 0.1825
Y3 Y 0.0000 0.0000 0.3642
Sc1 Sc 0.0000 0.0000 0.4552

---

2.
# DyY5Sc4 PBE relaxed
# Volume ... 29.059 Å³ per atom
# Formation energy from the elements ... 0.064 eV/atom
# Excess energy over the best structure of this formula in the dataset ... 0.0 meV per atom
# DFT total energy ... -6.1612 eV per atom
data_DyY5Sc4
_chemical_formula_sum 'Dy2 Y10 Sc8'
_cell_length_a 16.188
_cell_length_b 5.257
_cell_length_c 6.830
_cell_angle_alpha 90.00
_cell_angle_beta 90.26
_cell_angle_gamma 90.00
_symmetry_space_group_name_H-M 'C 1 m 1'
_symmetry_Int_Tables_number 8
_symmetry_space_group_name_Hall 'C -2y'
loop_
_atom_site_label
_atom_site_type_symbol
_atom_site_fract_x
_atom_site_fract_y
_atom_site_fract_z
Dy1 Dy 0.000 0.000 0.000
Y1 Y 0.107 0.500 0.746
Y2 Y 0.197 0.000 0.486
Y3 Y 0.294 0.500 0.004
Y4 Y 0.383 0.000 0.744
Y5 Y 0.490 0.500 0.488
Sc1 Sc 0.106 0.500 0.240
Sc2 Sc 0.196 0.000 0.998
Sc3 Sc 0.294 0.500 0.491
Sc4 Sc 0.384 0.000 0.248

---

3.
# Dy2Y5Sc4 PBE relaxed
# Volume ... 29.673 Å³ per atom
# Formation energy from the elements ... 0.094 eV/atom
# Excess energy over the best structure of this formula in the dataset ... 0.0 meV per atom
# DFT total energy ... -5.9830 eV per atom
data_Dy2Y5Sc4
_chemical_formula_sum 'Dy4 Y10 Sc8'
_cell_length_a 22.076
_cell_length_b 3.532
_cell_length_c 8.778
_cell_angle_alpha 90.00
_cell_angle_beta 107.48
_cell_angle_gamma 90.00
_symmetry_space_group_name_H-M 'C 1 2/m 1'
_symmetry_Int_Tables_number 12
_symmetry_space_group_name_Hall '-C 2y'
loop_
_atom_site_label
_atom_site_type_symbol
_atom_site_fract_x
_atom_site_fract_y
_atom_site_fract_z
Dy1 Dy 0.083 0.000 0.222
Y1 Y 0.000 0.000 0.500
Y2 Y 0.184 0.500 0.527
Y3 Y 0.206 0.500 0.126
Sc1 Sc 0.045 0.500 0.887
Sc2 Sc 0.140 0.000 0.789

---

4.
# Dy3Y2Sc PBE relaxed
# Volume ... 31.096 Å³ per atom
# Formation energy from the elements ... 0.123 eV/atom
# Excess energy over the best structure of this formula in the dataset ... 100.0 meV per atom
# DFT total energy ... -5.3878 eV per atom
data_Dy3Y2Sc
_chemical_formula_sum 'Dy12 Y8 Sc4'
_cell_length_a 17.163
_cell_length_b 6.450
_cell_length_c 6.756
_cell_angle_alpha 90.00
_cell_angle_beta 93.70
_cell_angle_gamma 90.00
_symmetry_space_group_name_H-M 'C 1 2/c 1'
_symmetry_Int_Tables_number 15
_symmetry_space_group_name_Hall '-C 2yc'
loop_
_atom_site_label
_atom_site_type_symbol
_atom_site_fract_x
_atom_site_fract_y
_atom_site_fract_z
Dy1 Dy 0.000 0.176 0.250
Dy2 Dy 0.143 0.462 0.017
Y1 Y 0.183 0.064 0.687
Sc1 Sc 0.000 0.315 0.750